! Mn3Tl2NiF12, relaxed, DFT PBE+U; values from VASP
&SYSTEM
  ibrav = 0, nat = 18, ntyp = 4
/
ATOMIC_SPECIES
F 19.00 F.upf
Tl 204.38 Tl.upf
Mn 54.94 Mn.upf
Ni 58.69 Ni.upf
CELL_PARAMETERS angstrom
-4.704 3.116 4.661
-4.443 -4.156 4.069
1.068 -0.550 7.220
ATOMIC_POSITIONS angstrom
F -5.416 1.374 7.899
Tl -3.013 -0.593 5.949
F 0.022 -0.447 5.493
F -1.931 -0.839 9.443
F -6.148 -0.751 6.507
F -2.822 1.426 8.409
F -4.676 -3.319 11.976
Mn -2.221 -2.078 2.034
F -5.258 -3.016 7.541
F -2.664 -2.964 8.051
Mn -2.352 1.558 2.331
Ni 0.000 0.000 0.000
F -8.101 -1.143 10.458
Mn 0.534 -0.275 3.610
F -4.831 0.997 12.327
F -3.249 -2.587 3.623
Tl -5.066 -0.997 10.001
F -3.404 1.729 3.974
! - DFT total energy: -4.94 eV/atom
! - Density of states at the Fermi level: 0.16 states/eV/atom
! - Theoretical density: 5.17 Mg/m³
! - Space group: R-3m, No. 166

! MnTl2NiF6, relaxed, DFT PBE+U; values from VASP
&SYSTEM
  ibrav = 0, nat = 20, ntyp = 4
/
ATOMIC_SPECIES
F 19.00 F.upf
Ni 58.69 Ni.upf
Tl 204.38 Tl.upf
Mn 54.94 Mn.upf
CELL_PARAMETERS angstrom
-0.359 -1.439 -5.529
4.084 -3.935 0.759
-6.790 -6.628 2.166
ATOMIC_POSITIONS angstrom
F 2.035 -2.375 -0.886
F 3.732 -4.969 -3.505
Ni -2.554 -5.017 -1.492
F -3.416 -3.773 -0.388
Tl -4.072 -5.955 1.815
Mn 0.842 -1.704 -2.575
Tl 1.185 -5.329 -1.654
F 3.925 -4.196 -0.535
F -1.693 -6.261 -2.596
F -3.582 -4.439 -2.947
F -0.602 -3.113 -2.114
Tl -2.209 -8.642 -0.571
F 1.111 -4.856 1.192
Ni 3.063 -2.952 0.569
Tl -0.676 -2.641 0.731
F -4.505 -6.923 -0.869
Mn -0.333 -6.265 1.652
F -1.526 -5.594 -0.036
F 1.842 -3.148 -3.856
F -1.776 -7.674 2.113
! - DFT total energy: -4.62 eV/atom
! - Density of states at the Fermi level: 0.00 states/eV/atom
! - Theoretical density: 6.63 Mg/m³
! - Space group: I4/mmm, No. 139

! MnTl2Ni3F12, relaxed, DFT PBE+U; values from VASP
&SYSTEM
  ibrav = 0, nat = 18, ntyp = 4
/
ATOMIC_SPECIES
Ni 58.69 Ni.upf
F 19.00 F.upf
Mn 54.94 Mn.upf
Tl 204.38 Tl.upf
CELL_PARAMETERS angstrom
-5.008 -3.738 -3.940
-0.301 -7.380 0.175
-5.599 -3.543 3.269
ATOMIC_POSITIONS angstrom
Ni -0.151 -3.690 0.088
Ni -2.799 -1.771 1.634
F -6.929 -6.943 1.782
F -3.884 -3.319 -2.535
F -4.259 -3.195 2.044
F -7.024 -11.341 2.038
F -6.578 -7.059 -2.509
F -7.132 -5.434 -0.437
Mn 0.000 0.000 0.000
Ni -2.504 -1.869 -1.970
F -6.648 -11.465 -2.541
F -10.013 -9.028 -0.576
Tl -6.568 -8.828 -0.299
F -4.330 -7.602 2.013
F -3.979 -7.718 -2.278
F -3.776 -9.227 -0.059
F -0.894 -5.633 0.079
Tl -4.339 -5.832 -0.198
! - DFT total energy: -4.47 eV/atom
! - Theoretical density: 5.22 Mg/m³
! - Space group: R-3m, No. 166

! Mn2Tl3NiF9, relaxed, DFT PBE+U; values from VASP
&SYSTEM
  ibrav = 0, nat = 15, ntyp = 4
/
ATOMIC_SPECIES
F 19.00 F.upf
Ni 58.69 Ni.upf
Tl 204.38 Tl.upf
Mn 54.94 Mn.upf
CELL_PARAMETERS angstrom
-3.671 -4.267 2.124
4.988 -1.539 -2.990
3.770 -0.090 6.336
ATOMIC_POSITIONS angstrom
F 2.785 -4.675 3.942
F 2.303 -1.221 1.527
Ni 1.885 -0.045 3.168
Tl 4.611 -2.508 2.930
F 0.659 -2.903 -0.433
Tl 0.000 0.000 0.000
Mn 2.752 -2.464 -0.194
F 2.980 -4.204 1.082
F 2.108 -1.692 4.387
F 2.494 -0.769 -1.495
Mn 2.336 -3.432 5.663
F 4.866 -2.011 -0.009
F -1.835 -2.134 1.062
Tl 0.477 -3.388 2.539
F 0.222 -3.885 5.478
! - DFT total energy: -5.00 eV/atom
! - Density of states at the Fermi level: 0.00 states/eV/atom
! - Theoretical density: 6.85 Mg/m³
! - Space group: P-3m1, No. 164

! MnZnNiF6, relaxed, DFT PBE+U; values from VASP
&SYSTEM
  ibrav = 0, nat = 18, ntyp = 4
/
ATOMIC_SPECIES
F 19.00 F.upf
Mn 54.94 Mn.upf
Zn 65.41 Zn.upf
Ni 58.69 Ni.upf
CELL_PARAMETERS angstrom
-0.678 -0.635 5.167
-1.794 -3.624 -3.348
8.112 -4.490 0.513
ATOMIC_POSITIONS angstrom
F 4.885 -3.074 2.085
Mn 4.056 -2.245 0.257
Mn 0.000 0.000 0.000
F 0.754 -5.675 0.248
Zn 4.661 -5.995 -0.125
Zn 0.978 -2.754 2.457
F 1.795 -4.051 -1.999
F 6.199 -5.343 1.087
F 0.451 -1.842 -1.058
F 6.583 -4.334 3.845
F 5.188 -6.907 3.391
F -0.560 -3.406 1.245
F 3.502 -5.636 1.544
Ni 0.606 -3.750 -0.381
Ni 5.033 -4.999 2.714
F 2.137 -3.113 0.789
F 3.844 -4.698 4.332
F -0.944 -4.415 -1.512
! - DFT total energy: -4.89 eV/atom
! - Density of states at the Fermi level: 0.00 states/eV/atom
! - Theoretical density: 4.39 Mg/m³
! - Space group: P-31c, No. 163

! NpMn2F11, relaxed, DFT PBE+U; values from VASP
&SYSTEM
  ibrav = 0, nat = 28, ntyp = 3
/
ATOMIC_SPECIES
F 19.00 F.upf
Mn 54.94 Mn.upf
Np 237.00 Np.upf
CELL_PARAMETERS angstrom
-2.621 0.234 5.841
3.506 -5.972 5.326
4.629 5.086 5.387
ATOMIC_POSITIONS angstrom
F 2.148 -1.564 5.401
F 5.547 -1.948 12.246
F 5.169 0.714 13.693
F 2.768 -3.005 7.637
F 5.900 0.428 11.325
F 5.210 0.519 7.678
Mn 3.242 -4.319 6.288
F 1.210 0.956 2.172
F 4.079 2.457 5.998
Mn 2.165 -1.903 9.222
F 3.747 -1.530 10.437
F 1.766 0.877 6.118
F 0.344 -1.367 2.861
F 2.745 2.353 8.918
F 3.055 0.984 3.984
F 0.303 -1.171 8.876
F 2.458 -1.636 12.570
Np 4.135 -0.489 12.416
F -0.387 -1.081 5.230
Mn 2.271 3.666 10.266
F 1.435 -3.109 10.556
F 4.303 -1.609 14.383
F 0.000 0.000 0.000
F 3.365 0.912 11.153
Np 1.378 -0.163 4.139
F 2.757 -0.326 8.277
Mn 3.349 1.251 7.333
F -0.034 1.295 4.308
! - DFT total energy: -6.14 eV/atom
! - Density of states at the Fermi level: 0.36 states/eV/atom
! - Theoretical density: 4.37 Mg/m³
! - Space group: Ibam, No. 72

! NpMn3O6F2, relaxed, DFT PBE+U; values from VASP
&SYSTEM
  ibrav = 0, nat = 12, ntyp = 4
/
ATOMIC_SPECIES
Mn 54.94 Mn.upf
O 16.00 O.upf
F 19.00 F.upf
Np 237.00 Np.upf
CELL_PARAMETERS angstrom
-0.910 0.799 4.493
-4.505 -4.288 -0.150
5.711 -1.552 1.856
ATOMIC_POSITIONS angstrom
Mn -2.253 -2.144 -0.075
O -0.719 -3.904 4.183
F 1.631 -1.875 4.602
O -3.495 -3.301 3.423
O 1.015 -1.137 2.016
Mn 2.401 -0.377 3.175
F -1.335 -3.166 1.598
O 3.791 -1.740 2.777
Np -0.455 0.399 2.247
O 1.455 -3.964 2.699
O -1.159 -1.077 3.500
Mn 0.148 -2.520 3.100
! - DFT total energy: -7.94 eV/atom
! - Density of states at the Fermi level: 0.11 states/eV/atom
! - Theoretical density: 5.74 Mg/m³
! - Space group: C2/m, No. 12

! Rb2NpMnF6, relaxed, DFT PBE+U; values from VASP
&SYSTEM
  ibrav = 0, nat = 20, ntyp = 4
/
ATOMIC_SPECIES
Rb 85.47 Rb.upf
F 19.00 F.upf
Mn 54.94 Mn.upf
Np 237.00 Np.upf
CELL_PARAMETERS angstrom
-5.108 3.747 0.035
-0.473 -0.707 6.653
5.292 7.203 1.141
ATOMIC_POSITIONS angstrom
Rb 1.282 1.731 1.706
F -1.358 6.052 3.669
F 1.271 7.066 2.294
F -1.175 6.402 0.615
F -1.289 3.581 1.742
F 3.641 4.905 6.089
F 1.357 4.544 0.597
Mn -0.016 5.313 2.109
F -1.486 0.523 3.590
F -4.130 2.463 3.608
Rb 3.810 5.172 2.251
Mn -0.365 -0.545 5.133
F -4.313 2.113 6.662
Np 2.313 3.103 5.265
F 0.909 1.187 5.500
Rb 1.102 6.799 6.132
Np -2.693 1.665 1.977
F 1.106 4.245 3.652
F -1.737 0.224 6.645
Rb -1.662 3.037 5.536
! - DFT total energy: -6.05 eV/atom
! - Density of states at the Fermi level: 0.91 states/eV/atom
! - Theoretical density: 5.00 Mg/m³
! - Space group: Pmmn, No. 59

! RbNpMn2F8, relaxed, DFT PBE+U; values from VASP
&SYSTEM
  ibrav = 0, nat = 12, ntyp = 4
/
ATOMIC_SPECIES
F 19.00 F.upf
Np 237.00 Np.upf
Mn 54.94 Mn.upf
Rb 85.47 Rb.upf
CELL_PARAMETERS angstrom
5.212 0.000 0.000
-2.606 4.514 0.000
0.000 0.000 9.482
ATOMIC_POSITIONS angstrom
F 0.000 1.534 7.918
F -1.278 3.747 7.918
F 0.000 3.009 3.916
Np 0.000 0.000 0.000
Mn 0.000 3.009 2.005
F 1.328 0.767 1.564
F 3.884 0.767 1.564
F 1.278 3.747 7.918
Mn 2.606 1.505 7.477
F 2.606 2.980 1.564
Rb 0.000 0.000 4.741
F 2.606 1.505 5.566
! - DFT total energy: -6.19 eV/atom
! - Density of states at the Fermi level: 0.71 states/eV/atom
! - Theoretical density: 4.35 Mg/m³
! - Space group: P-3m1, No. 164

! NpMnTlF6, relaxed, DFT PBE+U; values from VASP
&SYSTEM
  ibrav = 0, nat = 18, ntyp = 4
/
ATOMIC_SPECIES
F 19.00 F.upf
Tl 204.38 Tl.upf
Mn 54.94 Mn.upf
Np 237.00 Np.upf
CELL_PARAMETERS angstrom
-3.976 3.203 -3.328
1.568 -5.634 -1.716
-8.610 -4.277 6.172
ATOMIC_POSITIONS angstrom
F -8.905 -1.716 0.094
Tl -4.305 -2.138 3.086
F -2.720 -2.218 -2.199
F -7.122 -4.202 0.859
Mn -8.586 -2.950 1.838
F -8.298 -4.489 3.327
Np -6.738 -5.896 2.376
F -0.736 -2.767 0.189
Tl 0.000 0.000 0.000
F -1.211 -4.980 -2.007
F -9.808 -1.728 3.135
F -3.919 -5.082 -1.549
Np -4.281 -0.812 -1.247
F -3.896 -2.506 0.270
Mn -2.432 -3.757 -0.710
F -7.099 -1.626 2.677
F -2.113 -4.991 1.034
F -10.282 -3.940 0.939
! - DFT total energy: -6.56 eV/atom
! - Density of states at the Fermi level: 0.38 states/eV/atom
! - Theoretical density: 5.52 Mg/m³
! - Space group: P-31c, No. 163

! Mn6O7F5, relaxed, DFT PBE+U; values from VASP
&SYSTEM
  ibrav = 0, nat = 18, ntyp = 3
/
ATOMIC_SPECIES
F 19.00 F.upf
Mn 54.94 Mn.upf
O 16.00 O.upf
CELL_PARAMETERS angstrom
4.607 0.002 -0.001
0.096 5.628 -0.021
0.079 0.368 7.741
ATOMIC_POSITIONS angstrom
F 1.434 5.102 3.383
Mn 4.540 2.210 5.224
F 3.228 2.718 1.661
O 3.776 3.765 4.202
F 0.979 2.271 3.311
F 3.497 4.803 6.988
O 3.802 1.940 7.021
O 1.398 1.156 0.869
Mn 4.658 3.916 2.488
F 1.049 0.435 6.051
O 3.266 0.934 4.373
Mn 2.273 3.081 7.637
O 1.032 4.054 0.794
O 1.539 3.290 5.883
Mn 2.549 4.909 5.124
Mn 2.401 1.024 2.579
O 3.820 5.512 1.753
Mn 0.052 0.046 0.143
! - Energy above the lowest structure with this stoichiometry: 31 meV/atom
! - Density of states at the Fermi level: 0.14 states/eV/atom
! - Theoretical density: 4.44 Mg/m³
! - Space group: P1, No. 1

! Mn2O3F, relaxed, DFT PBE+U; values from VASP
&SYSTEM
  ibrav = 0, nat = 12, ntyp = 3
/
ATOMIC_SPECIES
Mn 54.94 Mn.upf
O 16.00 O.upf
F 19.00 F.upf
CELL_PARAMETERS angstrom
3.175 -3.292 0.000
3.175 3.292 0.000
0.000 0.000 6.052
ATOMIC_POSITIONS angstrom
Mn 3.175 -0.156 1.513
O 1.959 0.000 0.000
O 4.391 0.000 3.026
F 3.175 -1.837 4.539
Mn 3.175 0.156 4.539
F 3.175 1.837 1.513
O 3.175 2.059 4.539
Mn 0.000 0.000 0.000
Mn 0.000 0.000 3.026
O 4.391 0.000 0.000
O 1.959 0.000 3.026
O 3.175 -2.059 1.513
! - Energy above the lowest structure with this stoichiometry: 7 meV/atom
! - Density of states at the Fermi level: 0.23 states/eV/atom
! - Theoretical density: 4.64 Mg/m³
! - Space group: Cmcm, No. 63

! Mn3OF5, relaxed, DFT PBE+U; values from VASP
&SYSTEM
  ibrav = 0, nat = 18, ntyp = 3
/
ATOMIC_SPECIES
F 19.00 F.upf
Mn 54.94 Mn.upf
O 16.00 O.upf
CELL_PARAMETERS angstrom
4.868 0.006 -0.004
0.302 5.772 -0.011
0.136 0.404 8.209
ATOMIC_POSITIONS angstrom
F 1.841 5.688 1.809
F 4.248 5.164 3.534
F 1.058 1.017 4.660
Mn 2.434 0.003 -0.002
Mn 2.832 3.900 2.547
F 1.387 4.864 7.328
F 3.465 0.493 6.385
Mn 0.151 2.886 -0.006
O 1.619 1.996 7.516
Mn 0.346 5.083 5.444
F 1.801 3.932 4.508
F 3.920 1.317 0.866
O 3.687 4.185 0.678
F 1.063 2.828 1.889
Mn 4.960 1.098 2.750
F 4.244 3.353 6.305
F 3.506 2.250 3.686
Mn 2.475 2.281 5.647
! - Energy above the lowest structure with this stoichiometry: 21 meV/atom
! - Theoretical density: 3.97 Mg/m³
! - Space group: P-1, No. 2

! Mn8O13F3, relaxed, DFT PBE+U; values from VASP
&SYSTEM
  ibrav = 0, nat = 24, ntyp = 3
/
ATOMIC_SPECIES
Mn 54.94 Mn.upf
F 19.00 F.upf
O 16.00 O.upf
CELL_PARAMETERS angstrom
-0.450 4.352 -1.122
-4.958 -0.378 0.274
0.241 3.214 10.600
ATOMIC_POSITIONS angstrom
Mn -3.720 4.534 8.409
F -2.364 4.100 2.582
Mn -1.128 1.381 4.642
O -0.475 1.134 0.334
Mn -1.226 4.306 6.669
O -2.957 1.619 1.917
O -2.465 3.363 -0.154
Mn -3.931 2.911 3.104
O -2.190 5.579 7.829
O -2.290 4.937 5.134
O -4.872 3.483 1.504
O -4.677 5.053 6.769
Mn -1.399 2.585 1.285
F -4.759 6.048 9.433
O -4.848 4.450 4.099
Mn -4.026 5.806 5.102
F -2.747 3.057 7.130
O -0.307 2.757 5.646
O -2.757 3.795 9.914
Mn -3.678 0.039 1.077
O -2.865 2.235 4.611
Mn -1.097 2.912 9.875
O -0.479 2.130 2.977
O -0.307 3.689 8.256
! - Energy above the lowest structure with this stoichiometry: 22 meV/atom
! - Density of states at the Fermi level: 0.20 states/eV/atom
! - Theoretical density: 4.70 Mg/m³
! - Space group: P1, No. 1

! Mn3O4F2, relaxed, DFT PBE+U; values from VASP
&SYSTEM
  ibrav = 0, nat = 18, ntyp = 3
/
ATOMIC_SPECIES
O 16.00 O.upf
Mn 54.94 Mn.upf
F 19.00 F.upf
CELL_PARAMETERS angstrom
-1.775 3.951 1.623
-3.714 -0.157 -2.753
-4.627 -4.608 6.376
ATOMIC_POSITIONS angstrom
O -6.867 -2.794 3.896
Mn -5.702 -1.254 3.704
Mn -4.413 0.441 1.542
F -1.086 0.649 -0.128
Mn -2.744 1.897 -0.565
O -4.685 0.383 3.465
O -4.103 -2.326 4.001
O -6.013 1.512 1.244
O -4.003 0.382 -0.354
Mn -3.878 -3.756 5.244
Mn -2.314 -2.304 3.188
F -7.336 -0.140 3.382
Mn -6.237 2.942 0.002
F -9.030 -1.463 5.373
O -6.113 -1.195 5.599
O -5.431 -1.197 1.781
F -2.780 -0.674 1.864
O -3.248 1.980 1.349
! - Energy above the lowest structure with this stoichiometry: 13 meV/atom
! - Density of states at the Fermi level: 0.17 states/eV/atom
! - Theoretical density: 4.55 Mg/m³
! - Space group: C2/m, No. 12

! Mn6OF11, relaxed, DFT PBE+U; values from VASP
&SYSTEM
  ibrav = 0, nat = 36, ntyp = 3
/
ATOMIC_SPECIES
Mn 54.94 Mn.upf
F 19.00 F.upf
O 16.00 O.upf
CELL_PARAMETERS angstrom
16.105 0.000 0.000
0.000 4.886 0.058
0.000 4.772 5.960
ATOMIC_POSITIONS angstrom
Mn 0.038 4.838 4.994
Mn 13.382 4.876 0.936
F 11.535 3.511 3.741
F 0.967 3.514 3.639
F 14.322 8.551 5.364
Mn 16.068 2.452 2.014
F 4.571 1.125 0.761
F 9.889 1.106 0.602
Mn 10.691 2.402 2.017
Mn 8.112 7.271 4.056
Mn 2.766 4.866 1.028
Mn 13.340 7.252 4.008
F 1.783 6.165 2.384
F 0.927 3.809 0.718
O 9.049 8.622 5.365
F 15.138 1.127 0.659
F 9.907 6.012 3.705
Mn 7.993 4.885 1.076
Mn 5.543 2.298 2.111
F 14.268 3.590 2.341
O 7.056 6.235 2.385
F 1.837 5.976 5.321
Mn 5.414 4.789 4.997
F 8.991 3.541 2.363
F 7.114 5.927 5.343
F 15.179 6.195 3.698
Mn 2.723 7.263 3.916
F 11.633 3.759 0.674
Mn 10.563 4.685 5.091
F 12.350 5.776 5.232
F 3.755 3.389 2.252
F 3.572 8.588 5.271
F 12.534 6.202 2.291
F 6.199 3.625 0.725
F 6.216 3.492 3.582
F 4.473 6.145 3.654
! - Energy above the lowest structure with this stoichiometry: 264 meV/atom
! - Theoretical density: 3.96 Mg/m³
! - Space group: Pc, No. 7